DFT (PBEsol) results for a relaxed structure of KCaFe2.

* calculated formation energy: 1257 meV per atom
* E: -4.041 eV per atom
* space-group type: P4/mmm, No. 123
* N(E_F): 1.37 states/eV per atom

a = 4.1508 Å, b = 4.1508 Å, c = 4.7164 Å
α = 90.00°, β = 90.00°, γ = 90.00°
Closest atoms and distances in Å follow each position.
Fractional coordinates of all 4 atoms:
K  0.0000  0.0000  0.0000  4 Ca 2.94, 8 Fe 3.14
Ca  0.5000  0.5000  0.0000  4 K 2.94, 8 Fe 3.14
Fe  0.0000  0.5000  0.5000  4 Fe 2.94, 4 K 3.14, 4 Ca 3.14
Fe  0.5000  0.0000  0.5000  4 Fe 2.94, 4 K 3.14, 4 Ca 3.14

=====

DFT (PBEsol) results for a relaxed structure of KCaFe2.

* calculated formation energy: 602 meV per atom
* E: -4.697 eV per atom
* space-group type: P4mm, No. 99
* N(E_F): 1.06 states/eV per atom

a = 3.2200 Å, b = 3.2200 Å, c = 9.1660 Å
α = 90.00°, β = 90.00°, γ = 90.00°
Closest atoms and distances in Å follow each position.
Fractional coordinates of all 4 atoms:
K  0.0000  0.0000  0.0000  4 K 3.22, 5 Fe 3.31-3.44
Ca  0.5000  0.5000  0.4152  5 Fe 2.78-3.07
Fe  0.0000  0.0000  0.6394  4 Fe 2.39
Fe  0.5000  0.5000  0.7183  4 Fe 2.39

=====

DFT (PBEsol) results for a relaxed structure of K4CaFe.

* calculated formation energy: 890 meV per atom
* E: -1.715 eV per atom
* space-group type: F-43m, No. 216
* N(E_F): 1.87 states/eV per atom

a = 7.4729 Å, b = 7.4729 Å, c = 7.4729 Å
α = 60.00°, β = 60.00°, γ = 60.00°
Closest atoms and distances in Å follow each position.
Fractional coordinates of all 6 atoms:
K  0.1242  0.1242  0.1242  6 K 3.71-3.76
K  0.1242  0.1242  0.6275  6 K 3.71-3.76
K  0.1242  0.6275  0.1242  6 K 3.71-3.76
K  0.6275  0.1242  0.1242  6 K 3.71-3.76
Ca  0.5000  0.5000  0.5000  12 K 4.38, 4 Fe 4.58
Fe  0.7500  0.7500  0.7500  12 K 4.38, 4 Ca 4.58

=====

Question: Which value of calculated formation energy does entry 3 give?
Answer: 890 meV per atom

=====

Question: The highest N(E_F) belongs to which entry?
Answer: K4CaFe

=====

Question: Look up the calculated formation energy of the second one.
Answer: 602 meV per atom

=====

Question: Which of these has the highest N(E_F)?
Answer: K4CaFe